1.
! ScMnW2, relaxed, DFT GGA-PBE; values from VASP
&SYSTEM
  ibrav = 0, nat = 4, ntyp = 3
/
ATOMIC_SPECIES
Sc 44.96 Sc.upf
W 183.84 W.upf
Mn 54.94 Mn.upf
ATOMIC_POSITIONS crystal
Sc 0.750 0.750 0.750
W 0.509 0.509 0.509
Mn 0.250 0.250 0.250
W 0.991 0.991 0.991
CELL_PARAMETERS angstrom
9.053 -0.006 -0.004
8.590 2.857 -0.004
8.590 1.388 2.497
! Crystal system: trigonal
! ΔE_f, eV per atom: 0.41
! Total DFT energy (no corrections), eV per atom: -9.94
! ΔE to the lowest computed polymorph, meV/atom: 320

***

2.
! HfTa3Ga3, relaxed, DFT GGA-PBE; values from VASP
&SYSTEM
  ibrav = 0, nat = 14, ntyp = 3
/
ATOMIC_SPECIES
Ta 180.95 Ta.upf
Ga 69.72 Ga.upf
Hf 178.49 Hf.upf
ATOMIC_POSITIONS crystal
Ta 0.762 0.072 0.637
Ga 0.778 0.312 0.846
Ga 0.222 0.688 0.154
Hf 0.350 0.350 0.949
Ga 0.936 0.222 0.154
Ga 0.688 0.936 0.154
Ta 0.928 0.471 0.363
Ta 0.529 0.762 0.637
Ta 0.072 0.529 0.637
Ga 0.312 0.064 0.846
Ta 0.238 0.928 0.363
Ga 0.064 0.778 0.846
Hf 0.650 0.650 0.051
Ta 0.471 0.238 0.363
CELL_PARAMETERS angstrom
-7.010 -2.216 0.729
-1.602 -5.867 4.194
-3.451 0.568 5.984
! Crystal system: trigonal
! ΔE_f, eV per atom: 0.04
! Total DFT energy (no corrections), eV per atom: -7.76

***

3.
! RbTeH2Cl8, relaxed, DFT GGA-PBE; values from VASP
&SYSTEM
  ibrav = 0, nat = 12, ntyp = 4
/
ATOMIC_SPECIES
Cl 35.45 Cl.upf
Te 127.60 Te.upf
Rb 85.47 Rb.upf
H 1.01 H.upf
ATOMIC_POSITIONS crystal
Cl 0.323 0.304 0.992
Te 0.000 0.000 0.000
Cl 0.168 0.851 0.129
Rb 0.000 0.000 0.500
Cl 0.677 0.696 0.008
Cl 0.492 0.303 0.605
Cl 0.832 0.149 0.871
H 0.434 0.301 0.748
Cl 0.118 0.795 0.750
Cl 0.882 0.205 0.250
Cl 0.508 0.697 0.395
H 0.566 0.699 0.252
CELL_PARAMETERS angstrom
6.832 -1.251 0.539
-1.237 6.810 -0.977
0.926 -1.481 9.143
! Crystal system: triclinic
! Total DFT energy (no corrections), eV per atom: -2.88